No. 1
## CdRu2Cl (PBE)

Data for crystalline CdRu2Cl at its relaxed geometry.

VASP energy   -17.15 eV per formula unit
Energy relative to the lowest polymorph listed for this composition   943 meV per atom
Formation energy (no corrections)   4.16 eV/f.u.
Space-group type   Fm-3m
Theoretical density   8.936 Mg/m³

Cell: 4.5140 4.5140 4.5140 Å, 60.00 60.00 60.00°
Closest atoms and distances in Å follow each position.
Fractional coordinates of all 4 atoms:
Ru (0.7500, 0.7500, 0.7500)  4 Cl 2.76, 4 Cd 2.76
Ru (0.2500, 0.2500, 0.2500)  4 Cd 2.76, 4 Cl 2.76
Cl (0.0000, 0.0000, 0.0000)  8 Ru 2.76
Cd (0.5000, 0.5000, 0.5000)  8 Ru 2.76

No. 2
## CdRu2Cl (PBE)

Data for crystalline CdRu2Cl at its relaxed geometry.

VASP energy   -20.39 eV per formula unit
Energy relative to the lowest polymorph listed for this composition   135 meV per atom
Formation energy (no corrections)   0.93 eV/f.u.
Space-group type   R3m
Theoretical density   8.724 Mg/m³

Cell: 8.9791 8.9791 8.9791 Å, 18.94 18.94 18.94°
Closest atoms and distances in Å follow each position.
Fractional coordinates of all 4 atoms:
Ru (0.9983, 0.9983, 0.9983)  3 Ru 2.58, 3 Cl 2.61
Cd (0.5035, 0.5035, 0.5035)  3 Ru 2.90, 6 Cd 2.95, 3 Cl 3.09
Ru (0.2587, 0.2587, 0.2587)  3 Ru 2.58
Cl (0.7395, 0.7395, 0.7395)  3 Ru 2.61

No. 3
## CdRu2Cl (PBE)

Data for crystalline CdRu2Cl at its relaxed geometry.

VASP energy   -18.74 eV per formula unit
Energy relative to the lowest polymorph listed for this composition   547 meV per atom
Formation energy (no corrections)   2.57 eV/f.u.
Space-group type   Pmmm
Theoretical density   8.612 Mg/m³

Cell: 4.2326 3.0685 5.1963 Å, 89.98 90.00 90.00°
Closest atoms and distances in Å follow each position.
Fractional coordinates of all 4 atoms:
Cl (0.5000, 0.7500, 0.7500)  4 Ru 2.49
Ru (0.0000, 0.7498, 0.4960)  2 Cl 2.49, 2 Ru 2.56-2.64
Ru (0.0000, 0.7502, 0.0040)  2 Cl 2.49, 2 Ru 2.56-2.64
Cd (0.5000, 0.2500, 0.2500)  8 Ru 2.91, 4 Cl 3.02, 2 Cd 3.07

No. 4
## CdRu2Cl (PBE)

Data for crystalline CdRu2Cl at its relaxed geometry.

VASP energy   -20.64 eV per formula unit
Energy relative to the lowest polymorph listed for this composition   72 meV per atom
Formation energy (no corrections)   0.67 eV/f.u.
Space-group type   P4mm
Theoretical density   8.460 Mg/m³

Cell: 2.9305 2.9305 7.9998 Å, 90.00 90.00 90.00°
Closest atoms and distances in Å follow each position.
Fractional coordinates of all 4 atoms:
Ru (0.5000, 0.5000, 0.2171)  4 Ru 2.60, 4 Cd 2.88
Cd (0.0000, 0.0000, 0.4666)  4 Ru 2.88, 4 Cd 2.93
Ru (0.0000, 0.0000, 0.0203)  4 Ru 2.60, 4 Cl 2.74
Cl (0.5000, 0.5000, 0.7960)  4 Ru 2.74, 4 Cl 2.93

No. 5
## CdRu3Cl (PBE)

Data for crystalline CdRu3Cl at its relaxed geometry.

VASP energy   -25.78 eV per formula unit
Energy relative to the lowest polymorph listed for this composition   0 meV per atom
Formation energy (no corrections)   4.81 eV/f.u.
Space-group type   Pm-3m
Theoretical density   8.922 Mg/m³

Cell: 4.3788 4.3788 4.3788 Å, 90.00 90.00 90.00°
Closest atoms and distances in Å follow each position.
Fractional coordinates of all 5 atoms:
Ru (0.0000, 0.0000, 0.5000)  2 Cl 2.19
Ru (0.5000, 0.0000, 0.0000)  2 Cl 2.19
Cd (0.5000, 0.5000, 0.5000)  12 Ru 3.10
Ru (0.0000, 0.5000, 0.0000)  2 Cl 2.19
Cl (0.0000, 0.0000, 0.0000)  6 Ru 2.19

No. 6
## CdRu2Cl (PBE)

Data for crystalline CdRu2Cl at its relaxed geometry.

VASP energy   -18.89 eV per formula unit
Energy relative to the lowest polymorph listed for this composition   509 meV per atom
Formation energy (no corrections)   2.42 eV/f.u.
Space-group type   Imm2
Theoretical density   7.327 Mg/m³

Cell: 6.4023 6.4023 6.4023 Å, 153.68 136.80 51.30°
Closest atoms and distances in Å follow each position.
Fractional coordinates of all 4 atoms:
Ru (0.8326, 0.3326, 0.5000)  2 Ru 2.54, 2 Cd 2.80
Cl (0.1912, 0.6912, 0.5000)  2 Ru 2.52
Ru (0.0131, 0.0131, 0.0000)  2 Cl 2.52, 2 Ru 2.54
Cd (0.4630, 0.4630, 0.0000)  6 Ru 2.80-2.83, 2 Cd 2.92

No. 7
## CdRu2Cl (PBE)

Data for crystalline CdRu2Cl at its relaxed geometry.

VASP energy   -17.50 eV per formula unit
Energy relative to the lowest polymorph listed for this composition   857 meV per atom
Formation energy (no corrections)   3.82 eV/f.u.
Space-group type   I4/mmm
Theoretical density   8.176 Mg/m³

Cell: 5.4163 5.4163 5.4163 Å, 137.73 137.73 61.32°
Closest atoms and distances in Å follow each position.
Fractional coordinates of all 4 atoms:
Cl (0.7500, 0.2500, 0.5000)  4 Cd 2.76, 8 Ru 3.04
Ru (0.5000, 0.5000, 0.0000)  4 Ru 2.76, 4 Cd 3.04, 4 Cl 3.04
Cd (0.2500, 0.7500, 0.5000)  4 Cl 2.76, 8 Ru 3.04
Ru (0.0000, 0.0000, 0.0000)  4 Ru 2.76, 4 Cd 3.04, 4 Cl 3.04

No. 8
## Cd4RuCl (PBE)

Data for crystalline Cd4RuCl at its relaxed geometry.

VASP energy   -11.88 eV per formula unit
Formation energy (no corrections)   2.90 eV/f.u.
Space-group type   F-43m
Theoretical density   7.509 Mg/m³

Cell: 5.6806 5.6806 5.6806 Å, 60.00 60.00 60.00°
Closest atoms and distances in Å follow each position.
Fractional coordinates of all 6 atoms:
Cd (0.3742, 0.3742, 0.3742)  6 Cd 2.82-2.86
Cl (0.7500, 0.7500, 0.7500)  12 Cd 3.33, 4 Ru 3.48
Cd (0.3742, 0.3742, 0.8773)  6 Cd 2.82-2.86
Ru (0.0000, 0.0000, 0.0000)  12 Cd 3.33, 4 Cl 3.48
Cd (0.8773, 0.3742, 0.3742)  6 Cd 2.82-2.86
Cd (0.3742, 0.8773, 0.3742)  6 Cd 2.82-2.86

Which of these has the highest theoretical density?
number 1

Number 8 is which compound?
Cd4RuCl

Please write out number 2 again, unchanged.
## CdRu2Cl (PBE)

Data for crystalline CdRu2Cl at its relaxed geometry.

VASP energy   -20.39 eV per formula unit
Energy relative to the lowest polymorph listed for this composition   135 meV per atom
Formation energy (no corrections)   0.93 eV/f.u.
Space-group type   R3m
Theoretical density   8.724 Mg/m³

Cell: 8.9791 8.9791 8.9791 Å, 18.94 18.94 18.94°
Closest atoms and distances in Å follow each position.
Fractional coordinates of all 4 atoms:
Ru (0.9983, 0.9983, 0.9983)  3 Ru 2.58, 3 Cl 2.61
Cd (0.5035, 0.5035, 0.5035)  3 Ru 2.90, 6 Cd 2.95, 3 Cl 3.09
Ru (0.2587, 0.2587, 0.2587)  3 Ru 2.58
Cl (0.7395, 0.7395, 0.7395)  3 Ru 2.61